A relaxed Pu2AsRh crystal. Source: Alexandria via LeMat-Bulk, functional PBE-GGA.

Computed properties:
The total magnetization is 2.696 μB per atom. The calculated total energy comes out at -0.7907 Ry per atom.

Lattice parameters (Å, degrees): 4.567 4.567 3.952 90.00 90.00 90.00
Space group P4/mmm (No. 123)
Unique sites:
Pu: 0.000 0.500 0.000 [2 per cell]
As: 0.000 0.000 0.500 [1 per cell]
Rh: 0.500 0.500 0.500 [1 per cell]

---

A relaxed Pu2AsRh3 crystal. Source: Alexandria via LeMat-Bulk, functional PBE-GGA.

Computed properties:
The total magnetization is 1.728 μB per atom. The calculated total energy comes out at -0.7285 Ry per atom.

Lattice parameters (Å, degrees): 5.5628 5.5628 11.9823 90.00 90.00 120.00
Space group R-3m (No. 166, hexagonal axes)
Unique sites:
Pu: 0.0000 0.0000 0.1205 [6 per cell]
As: 0.0000 0.0000 0.5000 [3 per cell]
Rh: 0.0000 0.5000 0.0000 [9 per cell]

---

A relaxed Pu3As4Rh2 crystal. Source: Alexandria via LeMat-Bulk, functional PBE-GGA.

Computed properties:
The total magnetization is 0.612 μB per atom. The calculated total energy comes out at -0.6833 Ry per atom.

Lattice parameters (Å, degrees): 12.008 4.178 8.556 90.00 120.34 90.00
Space group C2/m (No. 12)
Unique sites:
Pu: 0.000 0.000 0.000 [2 per cell]
Pu: 0.129 0.500 0.703 [4 per cell]
As: 0.080 0.000 0.385 [4 per cell]
As: 0.187 0.500 0.086 [4 per cell]
Rh: 0.184 0.500 0.372 [4 per cell]

---

A relaxed Pu2AsRh6 crystal. Source: Alexandria via LeMat-Bulk, functional PBE-GGA.

Computed properties:
The total magnetization is 0.921 μB per atom. The calculated total energy comes out at -0.6653 Ry per atom.

Lattice parameters (Å, degrees): 9.561 5.573 6.050 90.00 104.80 90.00
Space group C2/m (No. 12)
Unique sites:
Pu: 0.142 0.000 0.337 [4 per cell]
As: 0.000 0.500 0.500 [2 per cell]
Rh: 0.122 0.500 0.192 [4 per cell]
Rh: 0.135 0.241 0.817 [8 per cell]

---

A relaxed PuAs2Rh2 crystal. Source: Alexandria via LeMat-Bulk, functional PBE-GGA.

Computed properties:
The total magnetization is 1.103 μB per atom. The calculated total energy comes out at -0.6012 Ry per atom.

Lattice parameters (Å, degrees): 8.248 10.221 6.209 90.00 130.20 90.00
Space group C2/c (No. 15)
Unique sites:
Pu: 0.000 0.140 0.250 [4 per cell]
As: 0.000 0.142 0.750 [4 per cell]
As: 0.000 0.453 0.250 [4 per cell]
Rh: 0.135 0.341 0.046 [8 per cell]

---

A relaxed PuAsRh2 crystal. Source: Alexandria via LeMat-Bulk, functional PBE-GGA.

Computed properties:
The total magnetization is 1.244 μB per atom. The calculated total energy comes out at -0.6632 Ry per atom.

Lattice parameters (Å, degrees): 3.916 3.916 9.648 90.00 90.00 90.00
Space group P4/nmm (No. 129, origin choice 2)
Unique sites:
Pu: 0.250 0.250 0.199 [2 per cell]
As: 0.250 0.250 0.655 [2 per cell]
Rh: 0.250 0.250 0.914 [2 per cell]
Rh: 0.250 0.750 0.500 [2 per cell]

---

A relaxed Pu2AsRh crystal. Source: Alexandria via LeMat-Bulk, functional PBE-GGA.

Computed properties:
The total magnetization is 2.648 μB per atom. The calculated total energy comes out at -0.7962 Ry per atom.

Lattice parameters (Å, degrees): 3.743 3.743 5.827 90.00 90.00 90.00
Space group P4/mmm (No. 123)
Unique sites:
Pu: 0.000 0.000 0.248 [2 per cell]
As: 0.500 0.500 0.500 [1 per cell]
Rh: 0.500 0.500 0.000 [1 per cell]

---

A relaxed Pu3As2Rh7 crystal. Source: Alexandria via LeMat-Bulk, functional PBE-GGA.

Computed properties:
The total magnetization is 0.506 μB per atom. The calculated total energy comes out at -0.6737 Ry per atom.

Lattice parameters (Å, degrees): 3.995 3.995 26.901 90.00 90.00 90.00
Space group I4/mmm (No. 139)
Unique sites:
Pu: 0.000 0.000 0.000 [2 per cell]
Pu: 0.000 0.000 0.177 [4 per cell]
As: 0.000 0.000 0.369 [4 per cell]
Rh: 0.000 0.000 0.277 [4 per cell]
Rh: 0.000 0.000 0.500 [2 per cell]
Rh: 0.000 0.500 0.078 [8 per cell]

---

A relaxed PuAs12Rh4 crystal. Source: Alexandria via LeMat-Bulk, functional PBE-GGA.

Computed properties:
The total magnetization is 0.044 μB per atom. The calculated total energy comes out at -0.4535 Ry per atom.

Lattice parameters (Å, degrees): 8.643 8.643 8.643 90.00 90.00 90.00
Space group Im-3 (No. 204)
Unique sites:
Pu: 0.000 0.000 0.000 [2 per cell]
As: 0.000 0.145 0.342 [24 per cell]
Rh: 0.250 0.250 0.250 [8 per cell]

---

A relaxed PuAs2Rh4 crystal. Source: Alexandria via LeMat-Bulk, functional PBE-GGA.

Computed properties:
The total magnetization is 0.732 μB per atom. The calculated total energy comes out at -0.5998 Ry per atom.

Lattice parameters (Å, degrees): 7.728 7.728 3.893 90.00 90.00 90.00
Space group P4_2/mnm (No. 136)
Unique sites:
Pu: 0.000 0.000 0.000 [2 per cell]
As: 0.225 0.225 0.500 [4 per cell]
Rh: 0.080 0.665 0.500 [8 per cell]

---

A relaxed Pu2As4Rh5 crystal. Source: Alexandria via LeMat-Bulk, functional PBE-GGA.

Computed properties:
The total magnetization is 0.993 μB per atom. The calculated total energy comes out at -0.6020 Ry per atom.

Lattice parameters (Å, degrees): 5.530 9.757 15.056 90.00 90.00 90.00
Space group Fmmm (No. 69)
Unique sites:
Pu: 0.000 0.000 0.127 [8 per cell]
As: 0.000 0.158 0.371 [16 per cell]
Rh: 0.000 0.000 0.500 [4 per cell]
Rh: 0.250 0.250 0.000 [8 per cell]
Rh: 0.250 0.250 0.250 [8 per cell]

---

A relaxed Pu2As4Rh3 crystal. Source: Alexandria via LeMat-Bulk, functional PBE-GGA.

Computed properties:
The total magnetization is 1.167 μB per atom. The calculated total energy comes out at -0.6188 Ry per atom.

Lattice parameters (Å, degrees): 5.757 14.808 7.539 90.00 90.00 90.00
Space group Cmce (No. 64)
Unique sites:
Pu: 0.000 0.110 0.082 [8 per cell]
As: 0.000 0.183 0.462 [8 per cell]
As: 0.250 0.052 0.750 [8 per cell]
Rh: 0.000 0.000 0.500 [4 per cell]
Rh: 0.250 0.220 0.750 [8 per cell]